[1]
# GGA-PBE K3AsPb, optimized geometry
# Total magnetic moment ... 4.0 μB per cell
# ρ ... 2.2 g/cm³
# Energy of formation ... 0.4264 eV per atom
# V ... 60.68 Å³ per atom
data_K3AsPb
_chemical_formula_sum 'K3 As1 Pb1'
_cell_length_a 6.720
_cell_length_b 6.720
_cell_length_c 6.720
_cell_angle_alpha 90.00
_cell_angle_beta 90.00
_cell_angle_gamma 90.00
_symmetry_space_group_name_H-M 'P m -3 m'
_symmetry_Int_Tables_number 221
_symmetry_space_group_name_Hall '-P 4 2 3'
loop_
_atom_site_label
_atom_site_type_symbol
_atom_site_fract_x
_atom_site_fract_y
_atom_site_fract_z
K1 K 0.000 0.000 0.500
As1 As 0.500 0.500 0.500
Pb1 Pb 0.000 0.000 0.000

=====

[2]
# GGA-PBE Ce5Ga3Cu3, optimized geometry
# Total magnetic moment ... 2.5 μB per cell
# ρ ... 8.1 g/cm³
# Energy of formation ... -0.0322 eV per atom
# V ... 20.63 Å³ per atom
data_Ce5Ga3Cu3
_chemical_formula_sum 'Ce5 Ga3 Cu3'
_cell_length_a 9.3460
_cell_length_b 9.3460
_cell_length_c 2.9995
_cell_angle_alpha 90.00
_cell_angle_beta 90.00
_cell_angle_gamma 120.00
_symmetry_space_group_name_H-M 'P -6 2 m'
_symmetry_Int_Tables_number 189
_symmetry_space_group_name_Hall 'P -6 -2'
loop_
_atom_site_label
_atom_site_type_symbol
_atom_site_fract_x
_atom_site_fract_y
_atom_site_fract_z
Ce1 Ce 0.0000 0.3490 0.0000
Ce2 Ce 0.3333 0.6667 0.0000
Ga1 Ga 0.0000 0.6362 0.5000
Cu1 Cu 0.0000 0.8489 0.0000

=====

[3]
# GGA-PBE SrRe3, optimized geometry
# Total magnetic moment ... 0.0 μB per cell
# ρ ... 14.7 g/cm³
# Relative energy among the computed polymorphs ... 0.8880 eV per atom
# Energy of formation ... 1.6100 eV per atom
# V ... 18.23 Å³ per atom
data_SrRe3
_chemical_formula_sum 'Sr1 Re3'
_cell_length_a 4.178
_cell_length_b 4.178
_cell_length_c 4.178
_cell_angle_alpha 90.00
_cell_angle_beta 90.00
_cell_angle_gamma 90.00
_symmetry_space_group_name_H-M 'P m -3 m'
_symmetry_Int_Tables_number 221
_symmetry_space_group_name_Hall '-P 4 2 3'
loop_
_atom_site_label
_atom_site_type_symbol
_atom_site_fract_x
_atom_site_fract_y
_atom_site_fract_z
Sr1 Sr 0.000 0.000 0.000
Re1 Re 0.000 0.500 0.500

=====

[4]
# GGA-PBE Li2TiPd5, optimized geometry
# Total magnetic moment ... 0.0 μB per cell
# ρ ... 8.6 g/cm³
# Relative energy among the computed polymorphs ... 0.0000 eV per atom
# Energy of formation ... -0.5114 eV per atom
# V ... 14.26 Å³ per atom
data_Li2TiPd5
_chemical_formula_sum 'Li4 Ti2 Pd10'
_cell_length_a 4.071
_cell_length_b 4.071
_cell_length_c 13.772
_cell_angle_alpha 90.00
_cell_angle_beta 90.00
_cell_angle_gamma 90.00
_symmetry_space_group_name_H-M 'I 4/m m m'
_symmetry_Int_Tables_number 139
_symmetry_space_group_name_Hall '-I 4 2'
loop_
_atom_site_label
_atom_site_type_symbol
_atom_site_fract_x
_atom_site_fract_y
_atom_site_fract_z
Li1 Li 0.000 0.000 0.249
Ti1 Ti 0.000 0.000 0.000
Pd1 Pd 0.000 0.000 0.500
Pd2 Pd 0.000 0.500 0.133

=====

[5]
# GGA-PBE Mg2MnI, optimized geometry
# Total magnetic moment ... 0.9 μB per cell
# ρ ... 4.5 g/cm³
# Energy relative to the elements, uncorrected ... 950.7 meV/atom
# Relative energy among the computed polymorphs ... 0.6041 eV per atom
# V ... 21.20 Å³ per atom
data_Mg2MnI
_chemical_formula_sum 'Mg8 Mn4 I4'
_cell_length_a 6.974
_cell_length_b 6.974
_cell_length_c 6.974
_cell_angle_alpha 90.00
_cell_angle_beta 90.00
_cell_angle_gamma 90.00
_symmetry_space_group_name_H-M 'F m -3 m'
_symmetry_Int_Tables_number 225
_symmetry_space_group_name_Hall '-F 4 2 3'
loop_
_atom_site_label
_atom_site_type_symbol
_atom_site_fract_x
_atom_site_fract_y
_atom_site_fract_z
Mg1 Mg 0.250 0.250 0.250
Mn1 Mn 0.000 0.000 0.000
I1 I 0.000 0.000 0.500

=====

[6]
# GGA-PBE ZnOs3, optimized geometry
# Total magnetic moment ... 0.0 μB per cell
# ρ ... 18.5 g/cm³
# Energy of formation ... 0.4729 eV per atom
# V ... 14.31 Å³ per atom
data_ZnOs3
_chemical_formula_sum 'Zn4 Os12'
_cell_length_a 5.4661
_cell_length_b 5.4661
_cell_length_c 8.8477
_cell_angle_alpha 90.00
_cell_angle_beta 90.00
_cell_angle_gamma 120.00
_symmetry_space_group_name_H-M 'P 63/m m c'
_symmetry_Int_Tables_number 194
_symmetry_space_group_name_Hall '-P 6c 2c'
loop_
_atom_site_label
_atom_site_type_symbol
_atom_site_fract_x
_atom_site_fract_y
_atom_site_fract_z
Zn1 Zn 0.0000 0.0000 0.0000
Zn2 Zn 0.3333 0.6667 0.2500
Os1 Os 0.0000 0.5000 0.0000
Os2 Os 0.1616 0.3232 0.7500